Entry 1:
{
  "formula": "Nd2CdAg",
  "functional": "PBE-GGA",
  "state": "optimized geometry",
  "dft_energy_ev_per_atom": -3.602,
  "spacegroup": "Fm-3m (225)",
  "formation_energy_mev_per_atom": -276,
  "lattice_angstrom": [[0.000, 3.808, 3.808], [3.808, 0.000, 3.808], [3.808, 3.808, 0.000]],
  "species": ["Nd", "Nd", "Cd", "Ag"],
  "fractional_positions": [[0.250, 0.250, 0.250], [0.750, 0.750, 0.750], [0.000, 0.000, 0.000], [0.500, 0.500, 0.500]]
}

***

Entry 2:
{
  "formula": "Nd3Cd4Ag2",
  "functional": "PBE-GGA",
  "state": "optimized geometry",
  "dft_energy_ev_per_atom": -2.904,
  "spacegroup": "C2/m (12)",
  "e_above_lowest_polymorph_ev_per_atom": 0.046,
  "formation_energy_mev_per_atom": -274,
  "lattice_angstrom": [[4.772, -2.634, 0.000], [4.772, 2.634, 0.000], [-1.162, 0.000, 9.133]],
  "species": ["Nd", "Nd", "Nd", "Cd", "Cd", "Cd", "Cd", "Ag", "Ag"],
  "fractional_positions": [[0.000, 0.000, 0.000], [0.376, 0.376, 0.278], [0.624, 0.624, 0.722], [0.060, 0.060, 0.362], [0.317, 0.317, 0.917], [0.683, 0.683, 0.083], [0.940, 0.940, 0.638], [0.278, 0.278, 0.606], [0.722, 0.722, 0.394]]
}

***

Entry 3:
{
  "formula": "Nd6CdAg2",
  "functional": "PBE-GGA",
  "state": "optimized geometry",
  "dft_energy_ev_per_atom": -4.057,
  "spacegroup": "Immm (71)",
  "formation_energy_mev_per_atom": -143,
  "lattice_angstrom": [[-5.033, 5.205, 5.252], [5.033, -5.205, 5.252], [5.033, 5.205, -5.252]],
  "species": ["Nd", "Nd", "Nd", "Nd", "Nd", "Nd", "Nd", "Nd", "Nd", "Nd", "Nd", "Nd", "Cd", "Cd", "Ag", "Ag", "Ag", "Ag"],
  "fractional_positions": [[0.046, 0.824, 0.222], [0.250, 0.550, 0.301], [0.250, 0.949, 0.699], [0.269, 0.321, 0.590], [0.269, 0.679, 0.948], [0.398, 0.176, 0.222], [0.602, 0.824, 0.778], [0.731, 0.321, 0.052], [0.731, 0.679, 0.410], [0.750, 0.051, 0.301], [0.750, 0.450, 0.699], [0.954, 0.176, 0.778], [0.000, 0.500, 0.500], [0.500, 0.000, 0.500], [0.000, 0.143, 0.143], [0.000, 0.857, 0.857], [0.368, 0.368, 0.000], [0.632, 0.632, 0.000]]
}

***

Entry 4:
{
  "formula": "NdCd6Ag6",
  "functional": "PBE-GGA",
  "state": "optimized geometry",
  "dft_energy_ev_per_atom": -2.233,
  "spacegroup": "Immm (71)",
  "formation_energy_mev_per_atom": -128,
  "lattice_angstrom": [[-2.795, 4.916, 4.985], [2.795, -4.916, 4.985], [2.795, 4.916, -4.985]],
  "species": ["Nd", "Cd", "Cd", "Cd", "Cd", "Cd", "Cd", "Ag", "Ag", "Ag", "Ag", "Ag", "Ag"],
  "fractional_positions": [[0.000, 0.000, 0.000], [0.195, 0.695, 0.500], [0.346, 0.000, 0.346], [0.348, 0.348, 0.000], [0.652, 0.652, 0.000], [0.654, 0.000, 0.654], [0.805, 0.305, 0.500], [0.000, 0.000, 0.500], [0.000, 0.500, 0.000], [0.222, 0.500, 0.722], [0.500, 0.000, 0.000], [0.500, 0.500, 0.500], [0.778, 0.500, 0.278]]
}

***

Entry 5:
{
  "formula": "Nd4Cd3Ag",
  "functional": "PBE-GGA",
  "state": "optimized geometry",
  "dft_energy_ev_per_atom": -3.385,
  "spacegroup": "P4/mmm (123)",
  "e_above_lowest_polymorph_ev_per_atom": 0.000,
  "formation_energy_mev_per_atom": -301,
  "lattice_angstrom": [[3.838, 0.000, 0.000], [0.000, 3.838, 0.000], [0.000, 0.000, 15.278]],
  "species": ["Nd", "Nd", "Nd", "Nd", "Cd", "Cd", "Cd", "Ag"],
  "fractional_positions": [[0.000, 0.000, 0.120], [0.000, 0.000, 0.373], [0.000, 0.000, 0.627], [0.000, 0.000, 0.880], [0.500, 0.500, 0.248], [0.500, 0.500, 0.500], [0.500, 0.500, 0.752], [0.500, 0.500, 0.000]]
}

***

Entry 6:
{
  "formula": "Nd2Cd2Ag15",
  "functional": "PBE-GGA",
  "state": "optimized geometry",
  "dft_energy_ev_per_atom": -2.937,
  "spacegroup": "R-3m (166)",
  "formation_energy_mev_per_atom": -88,
  "lattice_angstrom": [[4.849, 2.800, 4.775], [-4.849, 2.800, 4.775], [0.000, -5.599, 4.775]],
  "species": ["Nd", "Nd", "Cd", "Cd", "Ag", "Ag", "Ag", "Ag", "Ag", "Ag", "Ag", "Ag", "Ag", "Ag", "Ag", "Ag", "Ag", "Ag", "Ag"],
  "fractional_positions": [[0.150, 0.150, 0.150], [0.850, 0.850, 0.850], [0.396, 0.396, 0.396], [0.604, 0.604, 0.604], [0.000, 0.500, 0.500], [0.148, 0.148, 0.658], [0.148, 0.658, 0.148], [0.195, 0.500, 0.805], [0.195, 0.805, 0.500], [0.342, 0.852, 0.852], [0.500, 0.000, 0.500], [0.500, 0.195, 0.805], [0.500, 0.500, 0.000], [0.500, 0.805, 0.195], [0.658, 0.148, 0.148], [0.805, 0.195, 0.500], [0.805, 0.500, 0.195], [0.852, 0.342, 0.852], [0.852, 0.852, 0.342]]
}

***

Entry 7:
{
  "formula": "Nd3Cd8Ag3",
  "functional": "PBE-GGA",
  "state": "optimized geometry",
  "dft_energy_ev_per_atom": -2.393,
  "spacegroup": "Immm (71)",
  "formation_energy_mev_per_atom": -237,
  "lattice_angstrom": [[-2.470, 4.895, 6.937], [2.470, -4.895, 6.937], [2.470, 4.895, -6.937]],
  "species": ["Nd", "Nd", "Nd", "Cd", "Cd", "Cd", "Cd", "Cd", "Cd", "Cd", "Cd", "Ag", "Ag", "Ag"],
  "fractional_positions": [[0.000, 0.000, 0.000], [0.289, 0.289, 0.000], [0.711, 0.711, 0.000], [0.008, 0.650, 0.358], [0.153, 0.863, 0.290], [0.291, 0.650, 0.642], [0.427, 0.137, 0.290], [0.573, 0.863, 0.710], [0.709, 0.350, 0.358], [0.847, 0.137, 0.710], [0.992, 0.350, 0.642], [0.343, 0.500, 0.843], [0.500, 0.000, 0.500], [0.657, 0.500, 0.157]]
}

***

Entry 8:
{
  "formula": "NdCd2Ag2",
  "functional": "PBE-GGA",
  "state": "optimized geometry",
  "dft_energy_ev_per_atom": -2.686,
  "spacegroup": "P-1 (2)",
  "e_above_lowest_polymorph_ev_per_atom": 0.000,
  "formation_energy_mev_per_atom": -226,
  "lattice_angstrom": [[5.102, 0.000, 0.000], [2.550, 4.426, 0.000], [1.972, -1.098, 5.021]],
  "species": ["Nd", "Cd", "Cd", "Ag", "Ag"],
  "fractional_positions": [[0.000, 0.000, 0.000], [0.486, 0.756, 0.342], [0.514, 0.244, 0.658], [0.219, 0.388, 0.238], [0.781, 0.612, 0.762]]
}

***

Entry 9:
{
  "formula": "NdCd3Ag2",
  "functional": "PBE-GGA",
  "state": "optimized geometry",
  "dft_energy_ev_per_atom": -2.387,
  "spacegroup": "C2/m (12)",
  "formation_energy_mev_per_atom": -185,
  "lattice_angstrom": [[8.589, -2.302, 0.000], [8.589, 2.302, 0.000], [-2.439, 0.000, 6.995]],
  "species": ["Nd", "Nd", "Cd", "Cd", "Cd", "Cd", "Cd", "Cd", "Ag", "Ag", "Ag", "Ag"],
  "fractional_positions": [[0.115, 0.115, 0.171], [0.885, 0.885, 0.829], [0.070, 0.070, 0.680], [0.305, 0.305, 0.076], [0.371, 0.371, 0.502], [0.629, 0.629, 0.498], [0.695, 0.695, 0.924], [0.930, 0.930, 0.320], [0.237, 0.237, 0.657], [0.482, 0.482, 0.170], [0.518, 0.518, 0.830], [0.763, 0.763, 0.343]]
}

***

Entry 10:
{
  "formula": "Nd2Cd2Ag",
  "functional": "PBE-GGA",
  "state": "optimized geometry",
  "dft_energy_ev_per_atom": -3.100,
  "spacegroup": "C2/m (12)",
  "e_above_lowest_polymorph_ev_per_atom": 0.000,
  "formation_energy_mev_per_atom": -257,
  "lattice_angstrom": [[5.544, -2.468, 0.000], [5.544, 2.468, 0.000], [-3.556, 0.000, 9.780]],
  "species": ["Nd", "Nd", "Nd", "Nd", "Cd", "Cd", "Cd", "Cd", "Ag", "Ag"],
  "fractional_positions": [[0.033, 0.033, 0.348], [0.176, 0.176, 0.096], [0.824, 0.824, 0.904], [0.967, 0.967, 0.652], [0.361, 0.361, 0.419], [0.475, 0.475, 0.129], [0.525, 0.525, 0.871], [0.639, 0.639, 0.581], [0.269, 0.269, 0.672], [0.731, 0.731, 0.328]]
}

***

Entry 11:
{
  "formula": "NdCd9Ag2",
  "functional": "PBE-GGA",
  "state": "optimized geometry",
  "dft_energy_ev_per_atom": -1.704,
  "spacegroup": "I4_1/amd (141)",
  "e_above_lowest_polymorph_ev_per_atom": 0.000,
  "formation_energy_mev_per_atom": -145,
  "lattice_angstrom": [[-5.941, 5.941, 3.785], [5.941, -5.941, 3.785], [5.941, 5.941, -3.785]],
  "species": ["Nd", "Nd", "Cd", "Cd", "Cd", "Cd", "Cd", "Cd", "Cd", "Cd", "Cd", "Cd", "Cd", "Cd", "Cd", "Cd", "Cd", "Cd", "Cd", "Cd", "Ag", "Ag", "Ag", "Ag"],
  "fractional_positions": [[0.375, 0.625, 0.750], [0.625, 0.375, 0.250], [0.125, 0.554, 0.330], [0.125, 0.795, 0.571], [0.125, 0.875, 0.250], [0.205, 0.275, 0.330], [0.205, 0.875, 0.929], [0.275, 0.205, 0.830], [0.275, 0.446, 0.071], [0.446, 0.275, 0.571], [0.446, 0.875, 0.170], [0.554, 0.125, 0.830], [0.554, 0.725, 0.429], [0.725, 0.554, 0.929], [0.725, 0.795, 0.170], [0.795, 0.125, 0.071], [0.795, 0.725, 0.670], [0.875, 0.125, 0.750], [0.875, 0.205, 0.429], [0.875, 0.446, 0.670], [0.000, 0.000, 0.000], [0.000, 0.000, 0.500], [0.000, 0.500, 0.000], [0.500, 0.000, 0.500]]
}

***

Entry 12:
{
  "formula": "Nd2Cd2Ag3",
  "functional": "PBE-GGA",
  "state": "optimized geometry",
  "dft_energy_ev_per_atom": -3.086,
  "spacegroup": "C2/m (12)",
  "e_above_lowest_polymorph_ev_per_atom": 0.000,
  "formation_energy_mev_per_atom": -240,
  "lattice_angstrom": [[5.409, -2.306, 0.000], [5.409, 2.306, 0.000], [-2.543, 0.000, 6.760]],
  "species": ["Nd", "Nd", "Cd", "Cd", "Ag", "Ag", "Ag"],
  "fractional_positions": [[0.137, 0.137, 0.257], [0.863, 0.863, 0.743], [0.154, 0.154, 0.716], [0.846, 0.846, 0.284], [0.392, 0.392, 0.072], [0.500, 0.500, 0.500], [0.608, 0.608, 0.928]]
}